# ErZnTc | the Alexandria database | PBE-GGA | relaxed
# * space group: Imma, No. 74
# * energy of formation from the pure elements: -28 kJ per mole of atoms
data_ErZnTc
_symmetry_space_group_name_H-M 'P 1'
_symmetry_Int_Tables_number 1
_cell_length_a 5.418
_cell_length_b 5.418
_cell_length_c 5.418
_cell_angle_alpha 122.29
_cell_angle_beta 120.95
_cell_angle_gamma 87.22
loop_
_symmetry_equiv_pos_as_xyz
'x,y,z'
loop_
_atom_site_label
_atom_site_type_symbol
_atom_site_fract_x
_atom_site_fract_y
_atom_site_fract_z
Er1 Er 0.368 0.118 0.250
Er2 Er 0.632 0.882 0.750
Zn1 Zn 0.000 0.500 0.500
Zn2 Zn 0.500 0.500 0.000
Tc1 Tc 0.000 0.000 0.500
Tc2 Tc 0.000 0.500 0.000